Below is a geometry-optimized Li4Co5O12 structure, with properties calculated at the PBE+U level.

Unit cell a=4.8757 b=4.8957 c=9.9703 alpha=94.91 beta=93.60 gamma=119.80
With the nearest neighbours (Å) after each atom.
Space group P1 (No. 1)
Unique sites:
1 Li 0.0000 0.0000 0.0000  5 O 2.05-2.28
2 Li 0.0644 0.3928 0.2360  6 O 2.02-2.12
3 Li 0.4426 0.4595 0.4704  4 O 2.00-2.15
4 Li 0.7984 0.1326 0.4698  5 O 1.99-2.21
5 Co 0.2056 0.1839 0.7303  6 O 1.89-1.93
6 Co 0.3959 0.0449 0.2362  6 O 1.81-1.94
7 Co 0.5372 0.8517 0.7331  6 O 1.87-1.93
8 Co 0.7286 0.7025 0.2392  6 O 1.81-1.92
9 Co 0.8732 0.5185 0.7333  6 O 1.87-1.92
10 O 0.0225 0.7134 0.1338  2 Co 1.81-1.88, 1 Li 2.03
11 O 0.1001 0.0553 0.3436  2 Co 1.87-1.92, 1 Li 2.08
12 O 0.1756 0.4833 0.6298  3 Co 1.90-1.93
13 O 0.2282 0.8803 0.8291  3 Co 1.87-1.89
14 O 0.3904 0.3302 0.1343  2 Co 1.81-1.90
15 O 0.4539 0.7643 0.3459  2 Co 1.88-1.94, 3 Li 1.99-2.02
16 O 0.5212 0.1587 0.6313  3 Co 1.88-1.93
17 O 0.5707 0.5534 0.8282  3 Co 1.87-1.92
18 O 0.6651 0.9781 0.1403  2 Co 1.81-1.87
19 O 0.7244 0.4067 0.3466  2 Co 1.87-1.88, 3 Li 2.00-2.07
20 O 0.8338 0.8155 0.6320  3 Co 1.88-1.93
21 O 0.8984 0.2098 0.8296  3 Co 1.88-1.91

Output
D(E_F) ... 3.87 states/eV/f.u.
VASP energy ... -5.5258 eV/atom